Density functional theory data (GGA-PBE) for TlCd2Si after structural relaxation.

Results
E_form (uncorrected) = 301.0 meV/atom
energy = -2.104 eV per atom

a = 6.604 Å, b = 6.604 Å, c = 5.675 Å
α = 64.49°, β = 64.49°, γ = 25.44°
Fractional positions:
Si: 0.750 0.750 0.750
Cd: 0.027 0.027 0.973
Cd: 0.473 0.473 0.527
Tl: 0.250 0.250 0.250